KRb2Tl after structural relaxation, computed with GGA-PBE.

V in A^3/atom: 58.04
Calculated formation energy in eV/atom: 0.030

Cell: 14.969 5.152 6.725 Å, 90.00 116.44 90.00°
Space group Cm (No. 8)
Unique sites:
K1 0.000 0.000 0.000 x2
Rb1 0.074 0.500 0.574 x2
Rb2 0.287 0.500 0.287 x2
Tl1 0.296 0.000 0.797 x2